Record 1
DFT (PBE with a Hubbard U) results for a relaxed structure of NiNO.

The structure in POSCAR format:
```
NiNO
1.0
8.177 0.000 0.000
0.000 2.965 0.000
-0.974 0.000 5.742
Ni N O
4 4 4
Direct
0.128 0.248 0.405
0.128 0.252 0.905
0.872 0.748 0.095
0.872 0.752 0.595
0.437 0.078 0.483
0.437 0.422 0.983
0.563 0.578 0.017
0.563 0.922 0.517
0.131 0.749 0.656
0.131 0.751 0.156
0.869 0.249 0.844
0.869 0.251 0.344
```

- volume (Å³ per atom) = 11.60



Record 2
DFT (PBE with a Hubbard U) results for a relaxed structure of NiN3O.

The structure in POSCAR format:
```
NiN3O
1.0
3.678 0.000 0.000
0.000 3.678 0.000
0.000 0.000 3.678
Ni N O
1 3 1
Direct
0.000 0.000 0.000
0.000 0.000 0.500
0.000 0.500 0.000
0.500 0.000 0.000
0.500 0.500 0.500
```

- volume (Å³ per atom) = 9.95



Record 3
DFT (PBE with a Hubbard U) results for a relaxed structure of Ni2NO.

The structure in POSCAR format:
```
Ni2NO
1.0
-2.201 2.201 4.738
2.201 -2.201 4.738
2.201 2.201 -4.738
Ni N O
4 2 2
Direct
0.116 0.625 0.991
0.375 0.366 0.491
0.634 0.125 0.009
0.875 0.884 0.509
0.000 0.000 0.000
0.750 0.250 0.500
0.250 0.750 0.500
0.500 0.500 0.000
```

- volume (Å³ per atom) = 11.48
- ΔE to the lowest computed polymorph (eV/f.u.) = 0.00



Record 4
DFT (PBE with a Hubbard U) results for a relaxed structure of Ni3NO.

The structure in POSCAR format:
```
Ni3NO
1.0
3.752 0.000 0.000
0.000 3.752 0.000
0.000 0.000 3.752
Ni N O
3 1 1
Direct
0.000 0.000 0.500
0.000 0.500 0.000
0.500 0.000 0.000
0.000 0.000 0.000
0.500 0.500 0.500
```

- volume (Å³ per atom) = 10.56
- ΔE to the lowest computed polymorph (eV/f.u.) = 0.00



Record 5
DFT (PBE with a Hubbard U) results for a relaxed structure of NiN3O.

The structure in POSCAR format:
```
NiN3O
1.0
3.441 0.000 0.000
0.000 3.441 0.000
0.000 0.000 3.441
Ni N O
1 3 1
Direct
0.000 0.000 0.000
0.000 0.500 0.500
0.500 0.000 0.500
0.500 0.500 0.000
0.500 0.500 0.500
```

- volume (Å³ per atom) = 8.15



Record 6
DFT (PBE with a Hubbard U) results for a relaxed structure of Ni2NO.

The structure in POSCAR format:
```
Ni2NO
1.0
0.000 2.530 2.530
2.530 0.000 2.530
2.530 2.530 0.000
Ni N O
2 1 1
Direct
0.250 0.250 0.250
0.750 0.750 0.750
0.000 0.000 0.000
0.500 0.500 0.500
```

- volume (Å³ per atom) = 8.09
- ΔE to the lowest computed polymorph (eV/f.u.) = 4.03



Record 7
DFT (PBE with a Hubbard U) results for a relaxed structure of NiNO.

The structure in POSCAR format:
```
NiNO
1.0
-1.474 1.474 7.805
1.474 -1.474 7.805
1.474 1.474 -7.805
Ni N O
2 2 2
Direct
0.184 0.184 0.000
0.816 0.816 0.000
0.036 0.036 0.000
0.964 0.964 0.000
0.317 0.317 0.000
0.683 0.683 0.000
```

- volume (Å³ per atom) = 11.31



Record 8
DFT (PBE with a Hubbard U) results for a relaxed structure of NiP2NO.

The structure in POSCAR format:
```
NiP2NO
1.0
3.932 0.000 0.000
0.000 3.932 0.000
0.000 0.000 3.546
Ni P N O
1 2 1 1
Direct
0.000 0.000 0.000
0.000 0.500 0.500
0.500 0.000 0.500
0.500 0.500 0.500
0.500 0.500 0.000
```

- volume (Å³ per atom) = 10.96
- ΔE to the lowest computed polymorph (eV/f.u.) = 0.00



Record 9
DFT (PBE with a Hubbard U) results for a relaxed structure of NiP2NO.

The structure in POSCAR format:
```
NiP2NO
1.0
4.376 0.000 0.000
0.000 4.376 0.000
0.000 0.000 3.409
Ni P N O
1 2 1 1
Direct
0.000 0.000 0.000
0.000 0.500 0.000
0.500 0.000 0.000
0.500 0.500 0.500
0.000 0.000 0.500
```

- volume (Å³ per atom) = 13.05
- ΔE to the lowest computed polymorph (eV/f.u.) = 0.94



Record 10
DFT (PBE with a Hubbard U) results for a relaxed structure of NiPb2N6O12.

The structure in POSCAR format:
```
NiPb2N6O12
1.0
0.000 5.004 5.004
5.004 0.000 5.004
5.004 5.004 0.000
Ni Pb N O
1 2 6 12
Direct
0.000 0.000 0.000
0.250 0.250 0.250
0.750 0.750 0.750
0.206 0.206 0.794
0.206 0.794 0.206
0.206 0.794 0.794
0.794 0.206 0.206
0.794 0.206 0.794
0.794 0.794 0.206
0.000 0.000 0.387
0.000 0.000 0.613
0.000 0.387 0.000
0.000 0.387 0.613
0.000 0.613 0.000
0.000 0.613 0.387
0.387 0.000 0.000
0.387 0.000 0.613
0.387 0.613 0.000
0.613 0.000 0.000
0.613 0.000 0.387
0.613 0.387 0.000
```

- volume (Å³ per atom) = 11.93



Record 11
DFT (PBE with a Hubbard U) results for a relaxed structure of NiPbN2O.

The structure in POSCAR format:
```
NiPbN2O
1.0
3.834 0.000 0.000
0.000 3.834 0.000
0.000 0.000 4.213
Ni Pb N O
1 1 2 1
Direct
0.000 0.000 0.000
0.500 0.500 0.500
0.000 0.500 0.000
0.500 0.000 0.000
0.000 0.000 0.500
```

- volume (Å³ per atom) = 12.38



Record 12
DFT (PBE with a Hubbard U) results for a relaxed structure of NiPbNO2.

The structure in POSCAR format:
```
NiPbNO2
1.0
4.221 0.000 0.000
0.000 4.221 0.000
0.000 0.000 4.337
Ni Pb N O
1 1 1 2
Direct
0.000 0.000 0.000
0.500 0.500 0.500
0.500 0.500 0.000
0.000 0.500 0.500
0.500 0.000 0.500
```

- volume (Å³ per atom) = 15.45



Record 13
DFT (PBE with a Hubbard U) results for a relaxed structure of NiPbN2O.

The structure in POSCAR format:
```
NiPbN2O
1.0
4.330 0.000 0.000
0.000 4.330 0.000
0.000 0.000 4.220
Ni Pb N O
1 1 2 1
Direct
0.000 0.000 0.000
0.500 0.500 0.500
0.000 0.500 0.500
0.500 0.000 0.500
0.500 0.500 0.000
```

- volume (Å³ per atom) = 15.82



Record 14
DFT (PBE with a Hubbard U) results for a relaxed structure of NiPdNO2.

The structure in POSCAR format:
```
NiPdNO2
1.0
3.751 0.000 0.000
0.000 3.751 0.000
0.000 0.000 3.747
Ni Pd N O
1 1 1 2
Direct
0.000 0.000 0.000
0.500 0.500 0.500
0.000 0.000 0.500
0.000 0.500 0.000
0.500 0.000 0.000
```

- volume (Å³ per atom) = 10.55



Record 15
DFT (PBE with a Hubbard U) results for a relaxed structure of NiPdNO2.

The structure in POSCAR format:
```
NiPdNO2
1.0
4.129 0.000 0.000
0.000 4.129 0.000
0.000 0.000 3.646
Ni Pd N O
1 1 1 2
Direct
0.000 0.000 0.000
0.500 0.500 0.500
0.500 0.500 0.000
0.000 0.500 0.500
0.500 0.000 0.500
```

- volume (Å³ per atom) = 12.43



Record 16
DFT (PBE with a Hubbard U) results for a relaxed structure of NiPtN2O.

The structure in POSCAR format:
```
NiPtN2O
1.0
3.726 0.000 0.000
0.000 3.726 0.000
0.000 0.000 4.725
Ni Pt N O
1 1 2 1
Direct
0.000 0.000 0.000
0.500 0.500 0.500
0.000 0.500 0.500
0.500 0.000 0.500
0.500 0.500 0.000
```

- volume (Å³ per atom) = 13.12



Record 17
DFT (PBE with a Hubbard U) results for a relaxed structure of NiPtN2O.

The structure in POSCAR format:
```
NiPtN2O
1.0
3.744 0.000 0.000
0.000 3.744 0.000
0.000 0.000 3.677
Ni Pt N O
1 1 2 1
Direct
0.000 0.000 0.000
0.500 0.500 0.500
0.000 0.500 0.000
0.500 0.000 0.000
0.000 0.000 0.500
```

- volume (Å³ per atom) = 10.31



Record 18
DFT (PBE with a Hubbard U) results for a relaxed structure of RbNiNO2.

The structure in POSCAR format:
```
RbNiNO2
1.0
4.315 0.000 0.000
0.000 4.315 0.000
0.000 0.000 4.571
Rb Ni N O
1 1 1 2
Direct
0.000 0.000 0.000
0.500 0.500 0.500
0.000 0.000 0.500
0.000 0.500 0.000
0.500 0.000 0.000
```

- volume (Å³ per atom) = 17.03



Record 19
DFT (PBE with a Hubbard U) results for a relaxed structure of RbNiN2O.

The structure in POSCAR format:
```
RbNiN2O
1.0
3.966 0.000 0.000
0.000 3.966 0.000
0.000 0.000 4.171
Rb Ni N O
1 1 2 1
Direct
0.000 0.000 0.000
0.500 0.500 0.500
0.000 0.500 0.500
0.500 0.000 0.500
0.500 0.500 0.000
```

- volume (Å³ per atom) = 13.13



Record 20
DFT (PBE with a Hubbard U) results for a relaxed structure of RbNiNO2.

The structure in POSCAR format:
```
RbNiNO2
1.0
4.078 0.000 0.000
0.000 4.078 0.000
0.000 0.000 4.045
Rb Ni N O
1 1 1 2
Direct
0.000 0.000 0.000
0.500 0.500 0.500
0.500 0.500 0.000
0.000 0.500 0.500
0.500 0.000 0.500
```

- volume (Å³ per atom) = 13.45



Record 21
DFT (PBE with a Hubbard U) results for a relaxed structure of RbNiN2O.

The structure in POSCAR format:
```
RbNiN2O
1.0
5.314 0.000 0.000
0.000 5.314 0.000
0.000 0.000 4.866
Rb Ni N O
1 1 2 1
Direct
0.000 0.000 0.000
0.500 0.500 0.500
0.000 0.500 0.000
0.500 0.000 0.000
0.000 0.000 0.500
```

- volume (Å³ per atom) = 27.49



Record 22
DFT (PBE with a Hubbard U) results for a relaxed structure of Ni2RhNO.

The structure in POSCAR format:
```
Ni2RhNO
1.0
3.734 0.000 0.000
0.000 3.734 0.000
0.000 0.000 4.200
Ni Rh N O
2 1 1 1
Direct
0.000 0.500 0.000
0.500 0.000 0.000
0.000 0.000 0.500
0.500 0.500 0.500
0.000 0.000 0.000
```

- volume (Å³ per atom) = 11.71



Record 23
DFT (PBE with a Hubbard U) results for a relaxed structure of NiRhNO2.

The structure in POSCAR format:
```
NiRhNO2
1.0
3.699 0.000 0.000
0.000 3.699 0.000
0.000 0.000 3.711
Ni Rh N O
1 1 1 2
Direct
0.000 0.000 0.000
0.500 0.500 0.500
0.000 0.000 0.500
0.000 0.500 0.000
0.500 0.000 0.000
```

- volume (Å³ per atom) = 10.15



Record 24
DFT (PBE with a Hubbard U) results for a relaxed structure of NiRhNO2.

The structure in POSCAR format:
```
NiRhNO2
1.0
4.065 0.000 0.000
0.000 4.065 0.000
0.000 0.000 3.621
Ni Rh N O
1 1 1 2
Direct
0.000 0.000 0.000
0.500 0.500 0.500
0.500 0.500 0.000
0.000 0.500 0.500
0.500 0.000 0.500
```

- volume (Å³ per atom) = 11.97



Record 25
DFT (PBE with a Hubbard U) results for a relaxed structure of NiRuN2O.

The structure in POSCAR format:
```
NiRuN2O
1.0
3.724 0.000 0.000
0.000 3.724 0.000
0.000 0.000 4.289
Ni Ru N O
1 1 2 1
Direct
0.000 0.000 0.000
0.500 0.500 0.500
0.000 0.500 0.500
0.500 0.000 0.500
0.500 0.500 0.000
```

- volume (Å³ per atom) = 11.90



Record 26
DFT (PBE with a Hubbard U) results for a relaxed structure of NiRuNO2.

The structure in POSCAR format:
```
NiRuNO2
1.0
3.685 0.000 0.000
0.000 3.685 0.000
0.000 0.000 3.775
Ni Ru N O
1 1 1 2
Direct
0.000 0.000 0.000
0.500 0.500 0.500
0.000 0.000 0.500
0.000 0.500 0.000
0.500 0.000 0.000
```

- volume (Å³ per atom) = 10.25



Record 27
DFT (PBE with a Hubbard U) results for a relaxed structure of NiRuNO2.

The structure in POSCAR format:
```
NiRuNO2
1.0
3.892 0.000 0.000
0.000 3.892 0.000
0.000 0.000 3.785
Ni Ru N O
1 1 1 2
Direct
0.000 0.000 0.000
0.500 0.500 0.500
0.500 0.500 0.000
0.000 0.500 0.500
0.500 0.000 0.500
```

- volume (Å³ per atom) = 11.46



| no. | total energy (eV per atom) | theoretical density (Mg/m³) |
| --- | --- | --- |
| 1 | -5.815 | 4.2 |
| 2 | -3.827 | 3.9 |
| 3 | -4.415 | 5.3 |
| 4 | -3.448 | 6.5 |
| 5 | -3.436 | 4.8 |
| 6 | -3.408 | 7.6 |
| 7 | -5.816 | 4.3 |
| 8 | -4.115 | 4.6 |
| 9 | -3.928 | 3.8 |
| 10 | -4.373 | 5.0 |
| 11 | -4.682 | 8.3 |
| 12 | -4.017 | 6.7 |
| 13 | -3.795 | 6.5 |
| 14 | -4.401 | 6.6 |
| 15 | -4.288 | 5.6 |
| 16 | -4.669 | 7.5 |
| 17 | -4.486 | 9.6 |
| 18 | -2.201 | 3.7 |
| 19 | -3.911 | 4.8 |
| 20 | -4.028 | 4.7 |
| 21 | -2.449 | 2.3 |
| 22 | -4.140 | 7.1 |
| 23 | -4.804 | 6.8 |
| 24 | -5.054 | 5.8 |
| 25 | -5.833 | 5.7 |
| 26 | -5.189 | 6.7 |
| 27 | -5.724 | 6.0 |